Record 1
{
  "formula": "Er2Se3O9",
  "functional": "meta-GGA SCAN",
  "state": "single point on PBEsol structure",
  "lattice_angstrom": [[6.937, -0.034, -0.039], [3.194, 7.247, -0.018], [2.974, 1.704, 8.096]],
  "species": ["Er", "Er", "Er", "Er", "O", "O", "O", "O", "O", "O", "O", "O", "O", "O", "O", "O", "O", "O", "O", "O", "O", "O", "Se", "Se", "Se", "Se", "Se", "Se"],
  "frac_coords": [[0.255, 0.264, 0.207], [0.745, 0.736, 0.793], [0.668, 0.272, 0.412], [0.332, 0.728, 0.588], [0.350, 0.245, 0.440], [0.650, 0.755, 0.560], [0.965, 0.301, 0.450], [0.035, 0.699, 0.550], [0.150, 0.010, 0.662], [0.850, 0.990, 0.338], [0.931, 0.312, 0.169], [0.069, 0.688, 0.831], [0.589, 0.289, 0.151], [0.411, 0.711, 0.849], [0.831, 0.432, 0.874], [0.169, 0.568, 0.126], [0.483, 0.408, 0.650], [0.517, 0.592, 0.350], [0.644, 0.056, 0.691], [0.356, 0.944, 0.309], [0.343, 0.204, 0.952], [0.657, 0.796, 0.048], [0.117, 0.241, 0.594], [0.883, 0.759, 0.406], [0.853, 0.247, 0.035], [0.147, 0.753, 0.965], [0.571, 0.223, 0.807], [0.429, 0.777, 0.193]],
  "dos_at_fermi_per_ev_cell": 0.0,
  "e_tot_ev_per_cell": -492.7,
  "spacegroup": "P-1",
  "total_magnetization_mub_per_fu": 0.00,
  "raw_formation_energy_ev_per_atom": -2.0980
}

Record 2
{
  "formula": "MnPtO2",
  "functional": "meta-GGA SCAN",
  "state": "single point on PBEsol structure",
  "lattice_angstrom": [[3.902, 0.000, 0.000], [1.951, 3.379, 0.000], [1.951, 1.126, 3.186]],
  "species": ["Mn", "O", "O", "Pt"],
  "frac_coords": [[0.000, 0.000, 0.000], [0.250, 0.250, 0.250], [0.750, 0.750, 0.750], [0.500, 0.500, 0.500]],
  "dos_at_fermi_per_ev_cell": 0.9,
  "e_tot_ev_per_cell": -102.1,
  "spacegroup": "Fm-3m",
  "total_magnetization_mub_per_fu": 2.98,
  "raw_formation_energy_ev_per_atom": -0.2899
}

Record 3
{
  "formula": "LaRu2W",
  "functional": "meta-GGA SCAN",
  "state": "single point on PBEsol structure",
  "lattice_angstrom": [[-2.924, 1.422, 2.600], [-3.426, -2.256, 0.714], [0.322, -2.695, 5.170]],
  "species": ["La", "Ru", "Ru", "W"],
  "frac_coords": [[0.500, 0.500, 0.500], [0.287, 0.287, 0.140], [0.713, 0.713, 0.860], [0.000, 0.000, 0.000]],
  "dos_at_fermi_per_ev_cell": 3.8,
  "e_tot_ev_per_cell": -182.2,
  "spacegroup": "R-3m",
  "formation_enthalpy_0k_mev_per_atom": 73.9,
  "total_magnetization_mub_per_fu": 0.00
}

Record 4
{
  "formula": "MnBeAs2",
  "functional": "meta-GGA SCAN",
  "state": "single point on PBEsol structure",
  "lattice_angstrom": [[3.442, 0.000, 0.000], [0.000, 4.452, 0.000], [-1.721, -2.226, 3.479]],
  "species": ["Be", "As", "As", "Mn"],
  "frac_coords": [[0.000, 0.500, 0.000], [0.726, 0.726, 0.452], [0.274, 0.274, 0.548], [0.500, 0.000, 0.000]],
  "dos_at_fermi_per_ev_cell": 2.4,
  "e_tot_ev_per_cell": -62.3,
  "spacegroup": "Immm",
  "formation_enthalpy_0k_mev_per_atom": 168.2,
  "total_magnetization_mub_per_fu": 2.90
}